Compound: Nd2Bi3Pb
Source: Alexandria via LeMat-Bulk
Functional: GGA-PBE
Structure: optimized geometry

Structure (POSCAR):
```
Nd2Bi3Pb
1.0
6.586 0.000 0.000
0.000 9.136 0.003
-3.293 -2.285 7.082
Pb Nd Bi
2 4 6
Cartesian
6.554 6.852 0.002 Pb
0.032 2.284 0.001 Pb
3.298 -0.001 2.312 Nd
3.287 4.567 2.314 Nd
-0.005 6.852 4.773 Nd
0.005 2.284 4.771 Nd
-0.005 4.570 2.464 Bi
3.315 2.284 0.001 Bi
3.287 6.850 4.622 Bi
0.005 0.001 2.463 Bi
3.271 6.852 0.002 Bi
3.298 2.281 4.621 Bi
```

Summary:
The density of states at the Fermi level comes out at 0.68 states/eV/atom. As for the formation energy: -298 kJ/mol of formula units.